Entry 1:
K3ThSe4 PBE optimized geometry; raw formation energy = -1.31 eV per atom
1.0
-4.371 0.445 0.444
-0.926 -1.139 -7.971
-0.365 -7.232 3.642
Se K Th
4 3 1
Direct
0.000 0.791 0.791 Se
0.500 0.779 0.221 Se
0.000 0.209 0.209 Se
0.500 0.221 0.779 Se
0.000 0.000 0.500 K
0.500 0.500 0.500 K
0.000 0.500 0.000 K
0.500 0.000 0.000 Th

Entry 2:
NaHfAu3 PBE optimized geometry; ΔE_f = 0.181 eV per atom; distance to the lowest polymorph of the same formula = 0.00 eV/f.u.
1.0
-2.753 4.503 0.237
-4.411 -2.632 -1.235
-0.935 -0.841 5.131
Au Na Hf
3 1 1
Direct
0.500 0.000 0.000 Au
0.000 0.500 0.000 Au
0.000 0.000 0.500 Au
0.500 0.500 0.500 Na
0.000 0.000 0.000 Hf

Entry 3:
LiCaFe PBE optimized geometry; ΔE_f = 0.294 eV per atom; distance to the lowest polymorph of the same formula = 0.12 eV/f.u.
1.0
3.879 0.000 0.000
0.000 4.401 0.000
0.000 0.000 15.428
Li Ca Fe
4 4 4
Direct
0.000 0.000 0.558 Li
0.000 0.500 0.656 Li
0.500 0.000 0.156 Li
0.500 0.500 0.058 Li
0.500 0.500 0.470 Ca
0.000 0.000 0.312 Ca
0.000 0.000 0.970 Ca
0.500 0.500 0.812 Ca
0.500 0.500 0.253 Fe
0.000 0.000 0.753 Fe
0.000 0.500 0.169 Fe
0.500 0.000 0.669 Fe

Entry 4:
UPaO2 PBE optimized geometry; distance to the lowest polymorph of the same formula = 0.00 eV/f.u.; raw formation energy = -2.27 eV per atom
1.0
3.642 0.000 0.000
1.821 3.154 0.000
1.821 1.051 6.395
Pa O U
1 2 1
Direct
0.000 0.000 0.000 Pa
0.883 0.883 0.351 O
0.117 0.117 0.649 O
0.500 0.500 0.500 U

Entry 5:
UMnSnRu PBE optimized geometry; ΔE_f = -0.062 eV per atom
1.0
-1.882 2.481 -3.439
-3.829 -1.522 -2.132
-4.042 2.179 0.656
Mn Ru U Sn
1 1 1 1
Direct
0.250 0.250 0.250 Mn
0.750 0.750 0.750 Ru
0.000 0.000 0.000 U
0.500 0.500 0.500 Sn

Entry 6:
FeMoP2 PBE optimized geometry; ΔE_f = -0.236 eV per atom
1.0
4.090 0.004 0.000
-0.004 4.090 0.000
0.000 0.000 2.937
Mo P Fe
1 2 1
Direct
0.000 0.500 0.500 Mo
0.000 0.000 0.000 P
0.500 0.500 0.000 P
0.500 0.000 0.500 Fe

Entry 7:
NaBePCl2 PBE optimized geometry; distance to the lowest polymorph of the same formula = 0.00 eV/f.u.; raw formation energy = -0.43 eV per atom
1.0
-0.740 -4.836 -1.118
1.631 -1.305 4.563
-3.966 0.262 1.492
Be P Cl Na
1 1 2 1
Direct
0.000 0.000 0.000 Be
0.000 0.000 0.500 P
0.500 0.000 0.000 Cl
0.000 0.500 0.000 Cl
0.500 0.500 0.500 Na

Entry 8:
PS2ClF PBE optimized geometry; distance to the lowest polymorph of the same formula = 0.00 eV/f.u.; raw formation energy = 0.40 eV per atom
1.0
-0.959 -2.831 3.318
4.145 0.467 1.597
-1.418 3.571 2.637
Cl S P F
1 2 1 1
Direct
0.000 0.000 0.500 Cl
0.000 0.500 0.000 S
0.500 0.000 0.000 S
0.000 0.000 0.000 P
0.500 0.500 0.500 F

Entry 9:
Er7Cu3Te12 PBE optimized geometry; raw formation energy = -1.10 eV per atom
1.0
7.510 -0.044 0.009
-3.717 6.526 0.009
1.251 2.137 13.975
Er Te Cu
7 12 3
Direct
0.249 0.581 0.254 Er
0.917 0.917 0.254 Er
0.084 0.417 0.748 Er
0.331 0.331 0.007 Er
0.581 0.249 0.254 Er
0.750 0.750 0.748 Er
0.417 0.084 0.748 Er
0.875 0.542 0.375 Te
0.625 0.625 0.124 Te
0.462 0.462 0.615 Te
0.128 0.794 0.616 Te
0.376 0.707 0.872 Te
0.292 0.959 0.124 Te
0.707 0.376 0.872 Te
0.542 0.875 0.375 Te
0.207 0.207 0.377 Te
0.959 0.292 0.124 Te
0.044 0.044 0.872 Te
0.794 0.128 0.616 Te
0.814 0.480 0.561 Cu
0.146 0.146 0.562 Cu
0.480 0.814 0.561 Cu

Entry 10:
LiLa5Tb4 PBE optimized geometry; ΔE_f = 0.039 eV per atom
1.0
-0.126 1.272 -3.460
0.035 -3.462 -1.273
-24.698 -0.509 0.714
La Li Tb
5 1 4
Direct
0.500 0.500 0.911 La
0.500 0.500 0.295 La
0.500 0.500 0.089 La
0.500 0.500 0.500 La
0.500 0.500 0.705 La
0.000 0.000 0.000 Li
0.000 0.000 0.809 Tb
0.000 0.000 0.397 Tb
0.000 0.000 0.603 Tb
0.000 0.000 0.191 Tb

Entry 11:
MnV2RuS PBE optimized geometry; raw formation energy = 1.02 eV per atom
1.0
4.283 0.000 0.000
0.000 4.447 0.000
0.000 0.000 4.283
V Ru S Mn
2 1 1 1
Direct
0.000 0.000 0.500 V
0.500 0.000 0.000 V
0.000 0.500 0.000 Ru
0.500 0.500 0.500 S
0.000 0.000 0.000 Mn

Entry 12:
BaSrZn2 PBE optimized geometry; ΔE_f = 0.053 eV per atom
1.0
-0.456 -2.400 -4.870
4.337 -0.354 -3.279
2.357 -4.831 -0.888
Sr Zn Ba
1 2 1
Direct
0.750 0.750 0.750 Sr
0.250 0.250 0.250 Zn
0.000 0.000 0.000 Zn
0.500 0.500 0.500 Ba

Entry 13:
LaTbErSc PBE optimized geometry; ΔE_f = 0.088 eV per atom; distance to the lowest polymorph of the same formula = 0.00 eV/f.u.
1.0
-1.405 -1.110 3.367
3.614 -4.380 0.065
1.396 4.897 4.359
Sc La Er Tb
1 1 1 1
Direct
0.920 0.643 0.286 Sc
0.419 0.139 0.279 La
0.192 0.872 0.745 Er
0.655 0.410 0.820 Tb

Entry 14:
Li2ScTe PBE optimized geometry; raw formation energy = -0.45 eV per atom
1.0
5.673 0.012 0.008
4.059 3.964 0.008
4.059 1.658 3.600
Li Te Sc
2 1 1
Direct
0.986 0.986 0.986 Li
0.291 0.291 0.291 Li
0.718 0.718 0.718 Te
0.505 0.505 0.505 Sc

Entry 15:
Dy4Zn3In PBE optimized geometry; ΔE_f = -0.322 eV per atom; distance to the lowest polymorph of the same formula = 0.38 eV/f.u.
1.0
3.702 0.000 0.000
0.000 4.573 0.000
0.000 0.000 11.535
Zn Dy In
3 4 1
Direct
0.000 0.500 0.570 Zn
0.000 0.000 0.432 Zn
0.500 0.000 0.922 Zn
0.500 0.000 0.649 Dy
0.500 0.500 0.357 Dy
0.000 0.000 0.164 Dy
0.000 0.500 0.836 Dy
0.500 0.500 0.069 In

Entry 16:
Pm2Zn6Ir PBE optimized geometry; ΔE_f = -0.375 eV per atom
1.0
5.761 -0.029 -0.017
0.027 5.784 0.005
0.027 2.886 5.013
Zn Pm Ir
6 2 1
Direct
0.669 0.176 0.648 Zn
0.331 0.824 0.824 Zn
0.669 0.176 0.176 Zn
0.331 0.352 0.824 Zn
0.331 0.824 0.352 Zn
0.669 0.648 0.176 Zn
0.157 0.333 0.333 Pm
0.843 0.667 0.667 Pm
0.000 0.000 0.000 Ir

Entry 17:
LiDy4Mg5 PBE optimized geometry; ΔE_f = -0.065 eV per atom
1.0
-3.660 -0.377 0.506
0.551 -0.458 3.645
-1.565 18.675 2.583
Dy Mg Li
4 5 1
Direct
0.000 0.000 0.196 Dy
0.000 0.000 0.804 Dy
0.000 0.000 0.603 Dy
0.000 0.000 0.397 Dy
0.500 0.500 0.087 Mg
0.500 0.500 0.500 Mg
0.500 0.500 0.704 Mg
0.500 0.500 0.913 Mg
0.500 0.500 0.296 Mg
0.000 0.000 0.000 Li

Entry 18:
Cs2CdBr PBE optimized geometry; distance to the lowest polymorph of the same formula = 0.40 eV/f.u.; raw formation energy = -0.80 eV per atom
1.0
-1.243 3.825 -3.135
0.080 -0.713 -5.049
-10.008 -1.877 -2.469
Cs Cd Br
2 1 1
Direct
0.740 0.740 0.781 Cs
0.260 0.260 0.219 Cs
0.500 0.500 0.500 Cd
0.000 0.000 0.000 Br

Entry 19:
CeTl2GeSe4 PBE optimized geometry; raw formation energy = -0.84 eV per atom
1.0
4.233 0.000 0.000
0.000 7.930 -0.411
0.000 2.539 6.825
Se Tl Ge Ce
4 2 1 1
Direct
0.000 0.699 0.764 Se
0.000 0.301 0.236 Se
0.500 0.703 0.264 Se
0.500 0.297 0.736 Se
0.500 0.000 0.500 Tl
0.000 0.000 0.000 Tl
0.500 0.500 0.000 Ge
0.000 0.500 0.500 Ce

no.,final energy (eV/f.u.)
1,-35.17
2,-20.20
3,-11.50
4,-39.78
5,-33.99
6,-31.06
7,-16.30
8,-15.40
9,-106.06
10,-44.68
11,-35.73
12,-5.94
13,-20.10
14,-15.09
15,-27.55
16,-29.38
17,-28.94
18,-7.48
19,-35.91